Compound: LaRh3W
Source: Alexandria
Functional: PBE
Structure: optimized geometry

Output
ΔH_f (0 K) in meV/atom: 1833
Space-group type: No. 221
Density of states at the Fermi level in states/eV/atom: 2.077
M_tot in μB per cell: 0.0
E above lowest polymorph in kJ/mol of atoms: 157.9

The structure in extended XYZ format:
```
5
Lattice="4.784 0.000 0.000 0.000 4.784 0.000 0.000 0.000 4.784" Properties=species:S:1:pos:R:3 pbc="T T T"
La 0.000 0.000 0.000
Rh 0.000 0.000 2.392
Rh 0.000 2.392 0.000
Rh 2.392 0.000 0.000
W 2.392 2.392 2.392
```